ScOsAu2 | meta-GGA SCAN | PBEsol geometry

The value obtained for the volume is 202.53 Å³ per cell. The formation energy is 11 kJ/mol of formula units. For the total energy, the calculation gives -56.079 eV/atom.

The space group is R3m (No. 160, hexagonal axes) and the conventional cell measures 2.9475, 2.9475 and 26.9176 Å, with angles of 90.00, 90.00 and 120.00 degrees. The distinct sites, in fractional coordinates, are Sc at (0.0000, 0.0000, 0.0000), Os at (0.0000, 0.0000, 0.7408), Au at (0.0000, 0.0000, 0.2469) and Au at (0.0000, 0.0000, 0.4924).